A plane-wave DFT calculation with PBE-GGA was carried out for a relaxed Li2Pt2Br crystal.

Unit cell a=7.152 b=7.152 c=3.193 alpha=90.00 beta=90.00 gamma=90.00
Space group P4/mbm (No. 127)
One atom of each set of equivalent atoms:
Li 0.162 0.338 0.000
Pt 0.134 0.634 0.500
Br 0.000 0.000 0.500

Energy above the lowest structure with this stoichiometry: 0 meV/atom
Energy: -3.67 eV per atom
Crystal system: tetragonal
Formation energy from raw total energies: -0.8 eV per formula unit